Compound: AcTeMo
Source: the Open Quantum Materials Database
Functional: PBE
Structure: relaxed

Unit cell a=7.7474 b=7.7474 c=7.7474 alpha=90.00 beta=90.00 gamma=90.00
Space group F-43m (No. 216)
Unique sites:
Ac  0.0000  0.0000  0.0000 (multiplicity 4)
Te  0.2500  0.2500  0.2500 (multiplicity 4)
Mo  0.2500  0.2500  0.7500 (multiplicity 4)


Compound: CsHfAu
Source: the Open Quantum Materials Database
Functional: PBE
Structure: relaxed

Unit cell a=7.0560 b=7.0560 c=7.0560 alpha=90.00 beta=90.00 gamma=90.00
Space group F-43m (No. 216)
Unique sites:
Cs  0.0000  0.0000  0.0000 (multiplicity 4)
Hf  0.2500  0.2500  0.7500 (multiplicity 4)
Au  0.0000  0.0000  0.5000 (multiplicity 4)


Compound: Cs2ErScS4
Source: the Open Quantum Materials Database
Functional: PBE
Structure: relaxed

Unit cell a=3.9826 b=3.9826 c=15.9435 alpha=90.00 beta=90.00 gamma=120.00
Space group P-3m1 (No. 164)
Unique sites:
Cs  0.3333  0.6667  0.2536 (multiplicity 2)
Er  0.0000  0.0000  0.0000 (multiplicity 1)
Sc  0.0000  0.0000  0.5000 (multiplicity 1)
S  0.3333  0.6667  0.5847 (multiplicity 2)
S  0.3333  0.6667  0.9074 (multiplicity 2)


Compound: Cs2PdBrCl3
Source: the Open Quantum Materials Database
Functional: PBE
Structure: relaxed

Unit cell a=4.7724 b=10.8787 c=10.3929 alpha=90.00 beta=90.00 gamma=90.00
Space group Amm2 (No. 38)
Unique sites:
Cs  0.0000  0.2401  0.0000 (multiplicity 4)
Pd  0.5000  0.0000  0.7478 (multiplicity 2)
Br  0.5000  0.0000  0.5112 (multiplicity 2)
Cl  0.5000  0.0000  0.9738 (multiplicity 2)
Cl  0.5000  0.2150  0.7483 (multiplicity 4)


Compound: AgSnHgAu
Source: the Open Quantum Materials Database
Functional: PBE
Structure: relaxed

Unit cell a=7.0056 b=7.0056 c=7.0056 alpha=90.00 beta=90.00 gamma=90.00
Space group F-43m (No. 216)
Unique sites:
Ag  0.0000  0.0000  0.0000 (multiplicity 4)
Sn  0.2500  0.2500  0.2500 (multiplicity 4)
Hg  0.2500  0.2500  0.7500 (multiplicity 4)
Au  0.0000  0.0000  0.5000 (multiplicity 4)


Compound: SmDyPO
Source: the Open Quantum Materials Database
Functional: PBE
Structure: relaxed

Unit cell a=4.2304 b=7.5094 c=5.8422 alpha=90.00 beta=90.00 gamma=90.00
Space group Pmc2_1 (No. 26)
Unique sites:
Sm  0.0000  0.1998  0.0000 (multiplicity 2)
Dy  0.5000  0.3796  0.5629 (multiplicity 2)
P  0.0000  0.1692  0.4953 (multiplicity 2)
O  0.5000  0.3354  0.9388 (multiplicity 2)


Compound: GdTcNO
Source: the Open Quantum Materials Database
Functional: PBE
Structure: relaxed

Unit cell a=3.4096 b=3.4096 c=4.4446 alpha=90.00 beta=90.00 gamma=90.00
Space group P4/mmm (No. 123)
Unique sites:
Gd  0.0000  0.0000  0.0000 (multiplicity 1)
Tc  0.5000  0.5000  0.5000 (multiplicity 1)
N  0.5000  0.5000  0.0000 (multiplicity 1)
O  0.0000  0.0000  0.5000 (multiplicity 1)


Compound: CsPaSe3
Source: the Open Quantum Materials Database
Functional: PBE
Structure: relaxed

Unit cell a=5.5490 b=5.5490 c=5.5490 alpha=90.00 beta=90.00 gamma=90.00
Space group Pm-3m (No. 221)
Unique sites:
Cs  0.0000  0.0000  0.0000 (multiplicity 1)
Pa  0.5000  0.5000  0.5000 (multiplicity 1)
Se  0.0000  0.5000  0.5000 (multiplicity 3)


Compound: PrY2Ag3
Source: the Open Quantum Materials Database
Functional: PBE
Structure: relaxed

Summary:
formation energy: -0.314 eV/atom

Unit cell a=3.6501 b=3.6501 c=11.1722 alpha=90.00 beta=90.00 gamma=90.00
Space group P4/mmm (No. 123)
Unique sites:
Pr  0.0000  0.0000  0.0000 (multiplicity 1)
Y  0.0000  0.0000  0.3381 (multiplicity 2)
Ag  0.5000  0.5000  0.1820 (multiplicity 2)
Ag  0.5000  0.5000  0.5000 (multiplicity 1)


Compound: TmTePb
Source: the Open Quantum Materials Database
Functional: PBE
Structure: relaxed

Unit cell a=7.3143 b=7.3143 c=7.3143 alpha=90.00 beta=90.00 gamma=90.00
Space group F-43m (No. 216)
Unique sites:
Tm  0.0000  0.0000  0.0000 (multiplicity 4)
Te  0.2500  0.2500  0.7500 (multiplicity 4)
Pb  0.0000  0.0000  0.5000 (multiplicity 4)


Compound: LiZrCoB
Source: the Open Quantum Materials Database
Functional: PBE
Structure: relaxed

Unit cell a=5.7027 b=5.7027 c=5.7027 alpha=90.00 beta=90.00 gamma=90.00
Space group F-43m (No. 216)
Unique sites:
Li  0.0000  0.0000  0.0000 (multiplicity 4)
Zr  0.2500  0.2500  0.2500 (multiplicity 4)
Co  0.2500  0.2500  0.7500 (multiplicity 4)
B  0.0000  0.0000  0.5000 (multiplicity 4)


Compound: TlZnSeF
Source: the Open Quantum Materials Database
Functional: PBE
Structure: relaxed

Unit cell a=4.1142 b=4.1142 c=11.0022 alpha=90.00 beta=90.00 gamma=90.00
Space group P4/nmm (No. 129, origin choice 2)
Unique sites:
Tl  0.2500  0.2500  0.1329 (multiplicity 2)
Zn  0.2500  0.7500  0.5000 (multiplicity 2)
Se  0.2500  0.2500  0.6344 (multiplicity 2)
F  0.2500  0.7500  0.0000 (multiplicity 2)


Respective total energy values: -5.19; -3.61; -5.39; -3.37; -2.54; -6.93; -8.03; -5.58; -4.68; -3.98; -6.04; -3.38 eV/atom.